Computed, not measured: a geometry-optimized TaOsOF2 structure at the PBE-GGA level of DFT.

DFT total energy = -6.84 eV/atom
symmetry = No. 123
energy relative to the lowest polymorph listed for this composition = 0 meV per atom
D(E_F) = 0.66 states/eV per atom
magnetic moment = 2.94 μB per cell

abc: 4.2912 4.2912 3.9337
angles: 90.00 90.00 90.00
Fractional coordinates of all 5 atoms:
F  0.0000  0.5000  0.0000
F  0.5000  0.0000  0.0000
Os  0.5000  0.5000  0.5000
O  0.0000  0.0000  0.5000
Ta  0.0000  0.0000  0.0000